1.
VASP calculation (PBE) on a relaxed structure of Pm2Er2O5.

Results
E_tot ... -68.20 eV for the cell shown
Excess energy over the best structure of this formula in the dataset ... 0.0 meV per atom

a = 4.288 Å, b = 4.288 Å, c = 7.627 Å
α = 90.00°, β = 90.00°, γ = 90.00°
Space group P4/mmm (No. 123)
Symmetry-distinct sites (fractional):
Pm 0.000 0.000 0.000
Pm 0.000 0.000 0.500
Er 0.500 0.500 0.228
O 0.000 0.500 0.241
O 0.500 0.500 0.500



2.
VASP calculation (PBE) on a relaxed structure of Pm2Er2O5.

Results
E_tot ... -68.06 eV for the cell shown
Excess energy over the best structure of this formula in the dataset ... 15.2 meV per atom

a = 3.971 Å, b = 3.971 Å, c = 9.393 Å
α = 90.00°, β = 90.00°, γ = 90.00°
Space group P4/mmm (No. 123)
Symmetry-distinct sites (fractional):
Pm 0.000 0.000 0.243
Er 0.500 0.500 0.000
Er 0.500 0.500 0.500
O 0.000 0.000 0.500
O 0.000 0.500 0.139



3.
VASP calculation (PBE) on a relaxed structure of PmErSO2.

Results
E_tot ... -39.13 eV for the cell shown

a = 3.8374 Å, b = 3.8374 Å, c = 6.6346 Å
α = 90.00°, β = 90.00°, γ = 120.00°
Space group P3m1 (No. 156)
Symmetry-distinct sites (fractional):
Pm 0.0000 0.0000 0.0000
Er 0.3333 0.6667 0.5627
S 0.6667 0.3333 0.2866
O 0.0000 0.0000 0.6418
O 0.3333 0.6667 0.9005



4.
VASP calculation (PBE) on a relaxed structure of PmErTeO2.

Results
E_tot ... -74.07 eV for the cell shown

a = 3.946 Å, b = 3.946 Å, c = 12.551 Å
α = 90.00°, β = 90.00°, γ = 90.00°
Space group I4mm (No. 107)
Symmetry-distinct sites (fractional):
Pm 0.000 0.000 0.000
Er 0.000 0.000 0.322
Te 0.000 0.000 0.660
O 0.000 0.500 0.404